No. 1
ScPdPbS3, optimized geometry, DFT PBE; calculated total energy = -5.57 eV/atom; calculated volume = 20.69 Å³ per atom; spin magnetization = 0.00 Bohr magnetons per cell
1.0
1.903 -6.415 0.000
1.903 6.415 0.000
0.000 0.000 10.168
Sc Pd Pb S
2 2 2 6
Direct
0.000 0.000 0.000
0.000 0.000 0.500
0.396 0.604 0.750
0.604 0.396 0.250
0.272 0.728 0.250
0.728 0.272 0.750
0.038 0.962 0.750
0.365 0.635 0.519
0.365 0.635 0.981
0.635 0.365 0.019
0.635 0.365 0.481
0.962 0.038 0.250



No. 2
ScBeAg, optimized geometry, DFT PBE; calculated total energy = -4.12 eV/atom; calculated volume = 17.65 Å³ per atom; spin magnetization = 0.50 Bohr magnetons per cell
1.0
0.000 2.980 2.980
2.980 0.000 2.980
2.980 2.980 0.000
Sc Be Ag
1 1 1
Direct
0.000 0.000 0.000
0.750 0.750 0.750
0.500 0.500 0.500



No. 3
ZrSiPO, optimized geometry, DFT PBE; calculated total energy = -7.33 eV/atom; calculated volume = 14.95 Å³ per atom; spin magnetization = 0.00 Bohr magnetons per cell
1.0
3.497 0.000 0.000
0.000 3.497 0.000
0.000 0.000 9.781
Zr Si P O
2 2 2 2
Direct
0.250 0.250 0.132
0.750 0.750 0.868
0.250 0.750 0.500
0.750 0.250 0.500
0.250 0.250 0.729
0.750 0.750 0.271
0.250 0.750 0.000
0.750 0.250 0.000